# 1
A geometry-optimized NaCd2Rh2 structure, computed with PBE.

Cell lengths 7.8925, 7.8925, 3.0491 Å; angles 90.00, 90.00, 90.00 degrees
Positions (direct):
Na: 0.0000 0.0000 0.0000
Na: 0.5000 0.5000 0.0000
Rh: 0.3812 0.8812 0.0000
Rh: 0.8812 0.6188 0.0000
Rh: 0.6188 0.1188 0.0000
Rh: 0.1188 0.3812 0.0000
Cd: 0.1756 0.6756 0.5000
Cd: 0.6756 0.8244 0.5000
Cd: 0.8244 0.3244 0.5000
Cd: 0.3244 0.1756 0.5000

Results
Magnetization in Bohr magnetons per cell: 0.0
Distance to the lowest polymorph of the same formula in meV per atom: 0.0
Formation energy in eV/atom: -0.015

---

# 2
A geometry-optimized CuH3Pd5 structure, computed with PBE.

Cell lengths 7.4798, 7.4797, 5.5811 Å; angles 114.51, 97.42, 126.45 degrees
Positions (direct):
Cu: 0.2389 0.2118 0.4507
Cu: 0.7611 0.7882 0.5493
H: 0.6734 0.4940 0.1674
H: 0.6641 0.0091 0.6732
H: 0.0000 0.0000 0.0000
H: 0.0000 0.5000 0.5000
H: 0.3266 0.5060 0.8326
H: 0.3359 0.9909 0.3268
Pd: 0.9548 0.2752 0.6515
Pd: 0.2862 0.2862 0.0000
Pd: 0.8988 0.2055 0.1043
Pd: 0.5705 0.2124 0.7828
Pd: 0.4295 0.7876 0.2172
Pd: 0.1012 0.7945 0.8957
Pd: 0.3762 0.6966 0.6515
Pd: 0.7138 0.7138 0.0000
Pd: 0.0452 0.7248 0.3485
Pd: 0.6238 0.3034 0.3485

Results
Magnetization in Bohr magnetons per cell: 0.0
Total energy in eV/atom: -4.52

---

# 3
A geometry-optimized Er3Si2B structure, computed with PBE.

Cell lengths 3.6827, 11.6419, 10.9522 Å; angles 90.00, 90.00, 90.00 degrees
Positions (direct):
Er: 0.2500 0.3748 0.0696
Er: 0.7500 0.6252 0.9304
Er: 0.7500 0.8748 0.4304
Er: 0.2500 0.1252 0.5696
Er: 0.2500 0.7129 0.2033
Er: 0.7500 0.2871 0.7967
Er: 0.7500 0.2129 0.2967
Er: 0.2500 0.7871 0.7033
Er: 0.2500 0.4490 0.3863
Er: 0.7500 0.5510 0.6137
Er: 0.7500 0.9490 0.1137
Er: 0.2500 0.0510 0.8863
Si: 0.2500 0.6820 0.4602
Si: 0.7500 0.3180 0.5398
Si: 0.7500 0.1820 0.0398
Si: 0.2500 0.8180 0.9602
Si: 0.2500 0.0265 0.3034
Si: 0.7500 0.9735 0.6966
Si: 0.7500 0.5265 0.1966
Si: 0.2500 0.4735 0.8034
B: 0.2500 0.1260 0.1344
B: 0.7500 0.8740 0.8656
B: 0.7500 0.6260 0.3656
B: 0.2500 0.3740 0.6344

Results
Formation energy without anion corrections in meV per atom: -592.6
Magnetization in Bohr magnetons per cell: 2.1

---

# 4
A geometry-optimized TiHgBAs2 structure, computed with PBE.

Cell lengths 5.0701, 5.2460, 5.0701 Å; angles 90.00, 90.00, 90.00 degrees
Positions (direct):
As: 0.0000 0.0000 0.5000
As: 0.5000 0.0000 0.0000
B: 0.5000 0.5000 0.5000
Hg: 0.0000 0.0000 0.0000
Ti: 0.0000 0.5000 0.0000

Results
Magnetization in Bohr magnetons per cell: 0.1
Formation energy in eV/atom: 1.954

---

# 5
A geometry-optimized ZnCo2Ru structure, computed with PBE.

Cell lengths 2.6419, 2.6419, 7.1254 Å; angles 90.00, 90.00, 90.00 degrees
Positions (direct):
Co: 0.0000 0.0000 0.0156
Co: 0.5000 0.5000 0.2377
Ru: 0.0000 0.0000 0.4839
Zn: 0.5000 0.5000 0.7629

Results
Magnetization in Bohr magnetons per cell: 3.0
Formation energy in eV/atom: 0.105

---

# 6
A geometry-optimized YMgOs2 structure, computed with PBE.

Cell lengths 5.7257, 5.7257, 5.7257 Å; angles 148.54, 131.16, 59.26 degrees
Positions (direct):
Mg: 0.2264 0.7264 0.5000
Os: 0.9856 0.9856 0.0000
Os: 0.7756 0.2756 0.5000
Y: 0.5124 0.5124 0.0000

Results
Magnetization in Bohr magnetons per cell: 0.3
Formation energy in eV/atom: 0.137

---

# 7
A geometry-optimized NaNb3Cu structure, computed with PBE.

Cell lengths 4.6525, 4.6525, 4.6525 Å; angles 90.00, 90.00, 90.00 degrees
Positions (direct):
Na: 0.0000 0.0000 0.0000
Nb: 0.0000 0.5000 0.0000
Nb: 0.0000 0.0000 0.5000
Nb: 0.5000 0.0000 0.0000
Cu: 0.5000 0.5000 0.5000

Results
Magnetization in Bohr magnetons per cell: 0.0
Distance to the lowest polymorph of the same formula in meV per atom: 925.4
Formation energy in eV/atom: 2.254

---

# 8
A geometry-optimized Sc5CuPd4 structure, computed with PBE.

Cell lengths 3.2733, 3.2733, 16.8390 Å; angles 90.00, 90.00, 90.00 degrees
Positions (direct):
Sc: 0.5000 0.5000 0.0970
Sc: 0.5000 0.5000 0.2984
Sc: 0.5000 0.5000 0.5000
Sc: 0.5000 0.5000 0.7016
Sc: 0.5000 0.5000 0.9030
Cu: 0.0000 0.0000 0.0000
Pd: 0.0000 0.0000 0.1976
Pd: 0.0000 0.0000 0.3989
Pd: 0.0000 0.0000 0.6011
Pd: 0.0000 0.0000 0.8024

Results
Magnetization in Bohr magnetons per cell: 0.0
Formation energy in eV/atom: -0.777

---

# 9
A geometry-optimized NaCeCuI6 structure, computed with PBE.

Cell lengths 7.5263, 7.5263, 14.5242 Å; angles 90.00, 90.00, 120.00 degrees
Positions (direct):
Na: 0.0000 0.0000 0.0000
Na: 0.0000 0.0000 0.5000
Ce: 0.3333 0.6667 0.2500
Ce: 0.6667 0.3333 0.7500
Cu: 0.6667 0.3333 0.2500
Cu: 0.3333 0.6667 0.7500
I: 0.6546 0.6380 0.1324
I: 0.9833 0.3454 0.1324
I: 0.3454 0.9833 0.6324
I: 0.0167 0.6546 0.8676
I: 0.3620 0.3454 0.3676
I: 0.9833 0.6380 0.3676
I: 0.6380 0.9833 0.8676
I: 0.6546 0.0167 0.3676
I: 0.0167 0.3620 0.6324
I: 0.3620 0.0167 0.1324
I: 0.6380 0.6546 0.6324
I: 0.3454 0.3620 0.8676

Results
Formation energy without anion corrections in meV per atom: -883.1
Magnetization in Bohr magnetons per cell: 0.1

---

# 10
A geometry-optimized CaEuTmLu structure, computed with PBE.

Cell lengths 5.7805, 5.7805, 5.7805 Å; angles 60.00, 60.00, 60.00 degrees
Positions (direct):
Eu: 0.5000 0.5000 0.5000
Ca: 0.2500 0.2500 0.2500
Lu: 0.7500 0.7500 0.7500
Tm: 0.0000 0.0000 0.0000

Results
Magnetization in Bohr magnetons per cell: 7.5
Formation energy in eV/atom: 0.171

---

# 11
A geometry-optimized BaLiTbTl structure, computed with PBE.

Cell lengths 5.6886, 5.6886, 5.6886 Å; angles 60.00, 60.00, 60.00 degrees
Positions (direct):
Tl: 0.5000 0.5000 0.5000
Tb: 0.7500 0.7500 0.7500
Ba: 0.2500 0.2500 0.2500
Li: 0.0000 0.0000 0.0000

Results
Magnetization in Bohr magnetons per cell: 0.0
Formation energy in eV/atom: -0.072

---

# 12
A geometry-optimized AsIr2Au structure, computed with PBE.

Cell lengths 5.4231, 5.4231, 5.4231 Å; angles 149.14, 127.94, 61.75 degrees
Positions (direct):
As: 0.7500 0.2500 0.5000
Ir: 0.9751 0.9751 0.0000
Ir: 0.5249 0.5249 0.0000
Au: 0.2500 0.7500 0.5000

Results
Magnetization in Bohr magnetons per cell: 0.0
Formation energy in eV/atom: 0.306